NdSm2Au | PBE-GGA | relaxed

extended XYZ file:
```
4
Lattice="1.875 1.082 10.295 -1.875 1.082 10.295 0.000 -2.165 10.295" Properties=species:S:1:pos:R:3 pbc="T T T"
Nd 0.000 0.000 0.000
Sm 0.000 0.000 7.302
Sm 0.000 0.000 23.581
Au 0.000 0.000 15.442
```

Output
volume	125.36	Å³/cell
space-group type	R-3m (166)
mass density	8.50	g/cm³
E_tot	-18.5	eV per cell
spin magnetization	0.00	μB per formula unit

***

Nd2SmAu3 | PBE-GGA | relaxed

extended XYZ file:
```
12
Lattice="2.629 -7.888 0.000 2.629 7.888 0.000 0.000 0.000 7.356" Properties=species:S:1:pos:R:3 pbc="T T T"
Nd 0.000 0.000 0.000
Nd 0.000 0.000 3.678
Nd 2.629 2.624 0.000
Nd 2.629 -2.624 0.000
Sm 2.629 2.631 3.678
Sm 2.629 -2.631 3.678
Au 2.629 5.231 1.883
Au 2.629 5.231 5.473
Au 2.629 0.000 1.860
Au 2.629 0.000 5.496
Au 2.629 -5.231 1.883
Au 2.629 -5.231 5.473
```

Output
volume	305.07	Å³/cell
space-group type	Cmmm (65)
mass density	11.21	g/cm³
E_tot	-57.5	eV per cell
spin magnetization	0.00	μB per formula unit

***

Nd2SmAu | PBE-GGA | relaxed

extended XYZ file:
```
16
Lattice="7.183 0.000 0.000 0.000 10.243 0.000 0.000 0.000 6.765" Properties=species:S:1:pos:R:3 pbc="T T T"
Nd 1.395 0.550 1.210
Nd 1.395 4.571 1.210
Nd 2.197 5.671 4.592
Nd 2.197 9.693 4.592
Nd 4.986 0.550 2.173
Nd 4.986 4.571 2.173
Nd 5.788 5.671 5.555
Nd 5.788 9.693 5.555
Sm 0.103 2.561 4.277
Sm 3.488 7.682 0.895
Sm 3.694 2.561 5.870
Sm 7.079 7.682 2.488
Au 0.737 7.682 6.370
Au 2.854 2.561 2.987
Au 4.328 7.682 3.778
Au 6.446 2.561 0.395
```

Output
volume	497.68	Å³/cell
space-group type	Pnma (62)
mass density	8.49	g/cm³
E_tot	-76.4	eV per cell
spin magnetization	0.00	μB per formula unit

***

Nd2SmAu | PBE-GGA | relaxed

extended XYZ file:
```
4
Lattice="3.738 0.000 0.000 0.000 3.738 0.000 0.000 0.000 8.658" Properties=species:S:1:pos:R:3 pbc="T T T"
Nd 0.000 0.000 1.810
Nd 0.000 0.000 6.848
Sm 1.869 1.869 4.329
Au 1.869 1.869 0.000
```

Output
volume	121.00	Å³/cell
space-group type	P4/mmm (123)
mass density	8.73	g/cm³
E_tot	-18.9	eV per cell
spin magnetization	0.00	μB per formula unit

***

NdSmAu4 | PBE-GGA | relaxed

extended XYZ file:
```
6
Lattice="3.842 0.000 0.000 0.000 3.842 0.000 0.000 0.000 9.251" Properties=species:S:1:pos:R:3 pbc="T T T"
Nd 0.000 0.000 0.000
Sm 1.921 1.921 4.625
Au 0.000 0.000 3.111
Au 0.000 0.000 6.140
Au 1.921 1.921 1.555
Au 1.921 1.921 7.696
```

Output
volume	136.52	Å³/cell
space-group type	P4/mmm (123)
mass density	13.17	g/cm³
E_tot	-27.3	eV per cell
spin magnetization	0.00	μB per formula unit

***

NdSm2Au | PBE-GGA | relaxed

extended XYZ file:
```
4
Lattice="1.915 1.106 10.033 -1.915 1.106 10.033 0.000 -2.211 10.033" Properties=species:S:1:pos:R:3 pbc="T T T"
Nd 0.000 0.000 0.000
Sm 0.000 0.000 17.109
Sm 0.000 0.000 23.011
Au 0.000 0.000 4.996
```

Output
volume	127.46	Å³/cell
space-group type	R3m (160)
mass density	8.36	g/cm³
E_tot	-18.5	eV per cell
spin magnetization	0.00	μB per formula unit

***

NdSm3Au3 | PBE-GGA | relaxed

extended XYZ file:
```
14
Lattice="4.873 -5.489 0.000 4.873 5.489 0.000 -0.126 0.000 7.342" Properties=species:S:1:pos:R:3 pbc="T T T"
Nd 2.325 0.000 2.650
Nd 7.296 0.000 4.692
Sm 1.249 0.000 6.268
Sm 4.810 2.752 3.671
Sm 4.873 1.961 0.000
Sm 4.873 -1.961 0.000
Sm 4.810 -2.752 3.671
Sm 8.371 0.000 1.074
Au 2.400 2.702 5.657
Au 4.112 0.000 5.086
Au 7.221 2.702 1.685
Au 2.400 -2.702 5.657
Au 5.508 0.000 2.256
Au 7.221 -2.702 1.685
```

Output
volume	392.78	Å³/cell
space-group type	C2/m (12)
mass density	10.03	g/cm³
E_tot	-65.9	eV per cell
spin magnetization	0.00	μB per formula unit

***

Nd2SmAu3 | PBE-GGA | relaxed

extended XYZ file:
```
12
Lattice="2.315 -10.914 0.000 2.315 10.914 0.000 0.000 0.000 6.447" Properties=species:S:1:pos:R:3 pbc="T T T"
Nd 2.315 10.272 4.835
Nd 2.315 7.745 1.612
Nd 2.315 -7.745 4.835
Nd 2.315 -10.272 1.612
Sm 2.315 3.919 1.612
Sm 2.315 -3.919 4.835
Au 2.315 5.149 4.835
Au 2.315 1.496 3.431
Au 2.315 1.496 6.239
Au 2.315 -1.496 0.208
Au 2.315 -1.496 3.015
Au 2.315 -5.149 1.612
```

Output
volume	325.79	Å³/cell
space-group type	Cmcm (63)
mass density	10.50	g/cm³
E_tot	-55.9	eV per cell
spin magnetization	0.00	μB per formula unit

***

Nd2SmAu2 | PBE-GGA | relaxed

extended XYZ file:
```
10
Lattice="8.396 0.000 0.000 0.000 8.396 0.000 0.000 0.000 3.926" Properties=species:S:1:pos:R:3 pbc="T T T"
Nd 1.387 2.811 0.000
Nd 2.811 7.009 0.000
Nd 5.585 1.387 0.000
Nd 7.009 5.585 0.000
Sm 0.000 0.000 1.963
Sm 4.198 4.198 1.963
Au 1.085 5.282 1.963
Au 3.113 1.085 1.963
Au 5.282 7.311 1.963
Au 7.311 3.113 1.963
```

Output
volume	276.72	Å³/cell
space-group type	P4/mbm (127)
mass density	9.99	g/cm³
E_tot	-48.0	eV per cell
spin magnetization	0.00	μB per formula unit

***

NdSm3Au2 | PBE-GGA | relaxed

extended XYZ file:
```
12
Lattice="8.117 -2.654 0.000 8.117 2.654 0.000 -3.660 0.000 7.976" Properties=species:S:1:pos:R:3 pbc="T T T"
Nd 1.439 0.000 1.621
Nd 11.135 0.000 6.355
Sm -1.661 0.000 5.815
Sm 1.334 0.000 7.925
Sm 4.339 0.000 3.866
Sm 8.235 0.000 4.110
Sm 11.240 0.000 0.051
Sm 14.235 0.000 2.161
Au 1.314 0.000 4.884
Au 4.994 0.000 6.677
Au 7.580 0.000 1.300
Au 11.260 0.000 3.092
```

Output
volume	343.62	Å³/cell
space-group type	C2/m (12)
mass density	9.56	g/cm³
E_tot	-56.5	eV per cell
spin magnetization	0.00	μB per formula unit

***

Nd3Sm3Au4 | PBE-GGA | relaxed

extended XYZ file:
```
10
Lattice="3.892 0.000 0.000 0.000 5.907 5.958 0.000 -5.907 5.958" Properties=species:S:1:pos:R:3 pbc="T T T"
Nd 0.000 0.000 0.000
Nd 1.946 -2.963 7.010
Nd 1.946 2.963 7.010
Sm 0.000 -1.936 4.038
Sm 0.000 1.936 4.038
Sm 0.000 0.000 8.003
Au 1.946 0.000 2.508
Au 1.946 0.000 5.562
Au 1.946 -1.532 9.944
Au 1.946 1.532 9.944
```

Output
volume	273.93	Å³/cell
space-group type	Amm2 (38)
mass density	10.13	g/cm³
E_tot	-48.0	eV per cell
spin magnetization	0.00	μB per formula unit

***

NdSm2Au8 | PBE-GGA | relaxed

extended XYZ file:
```
11
Lattice="4.015 -7.652 0.000 4.015 7.652 0.000 -3.406 0.000 3.979" Properties=species:S:1:pos:R:3 pbc="T T T"
Nd 0.000 0.000 0.000
Sm 2.312 2.831 1.990
Sm 2.312 -2.831 1.990
Au -0.651 2.035 2.903
Au 4.015 4.579 0.000
Au -0.651 -2.035 2.903
Au 1.458 0.000 2.982
Au 3.166 0.000 0.998
Au 5.275 2.035 1.076
Au 4.015 -4.579 0.000
Au 5.275 -2.035 1.076
```

Output
volume	244.49	Å³/cell
space-group type	C2/m (12)
mass density	13.72	g/cm³
E_tot	-48.0	eV per cell
spin magnetization	0.00	μB per formula unit

***

NdSm3Au2 | PBE-GGA | relaxed

extended XYZ file:
```
12
Lattice="5.085 0.000 0.000 0.000 9.200 0.000 0.000 0.000 7.270" Properties=species:S:1:pos:R:3 pbc="T T T"
Nd 0.000 0.677 0.000
Nd 0.000 8.523 3.635
Sm 0.000 3.080 4.673
Sm 0.000 6.120 1.038
Sm 2.542 1.531 2.471
Sm 2.542 3.929 7.143
Sm 2.542 5.271 3.508
Sm 2.542 7.669 6.106
Au 0.000 3.201 1.706
Au 0.000 5.999 5.341
Au 2.542 1.429 5.440
Au 2.542 7.771 1.805
```

Output
volume	340.08	Å³/cell
space-group type	Pmc2_1 (26)
mass density	9.66	g/cm³
E_tot	-57.8	eV per cell
spin magnetization	0.00	μB per formula unit

***

NdSm2Au | PBE-GGA | relaxed

extended XYZ file:
```
4
Lattice="3.706 0.000 0.000 0.000 3.706 0.000 0.000 0.000 8.668" Properties=species:S:1:pos:R:3 pbc="T T T"
Nd 0.000 0.000 0.000
Sm 1.853 1.853 2.558
Sm 1.853 1.853 6.109
Au 0.000 0.000 4.334
```

Output
volume	119.05	Å³/cell
space-group type	P4/mmm (123)
mass density	8.95	g/cm³
E_tot	-19.0	eV per cell
spin magnetization	0.00	μB per formula unit

***

Nd2SmAu8 | PBE-GGA | relaxed

extended XYZ file:
```
11
Lattice="4.010 -7.669 0.000 4.010 7.669 0.000 -3.404 0.000 4.014" Properties=species:S:1:pos:R:3 pbc="T T T"
Nd 4.010 4.821 0.000
Nd 4.010 -4.821 0.000
Sm 2.308 0.000 2.007
Au -2.540 0.000 3.025
Au -0.424 2.006 3.079
Au 2.308 3.051 2.007
Au -0.424 -2.006 3.079
Au 5.039 2.006 0.935
Au 2.308 -3.051 2.007
Au 5.039 -2.006 0.935
Au 7.156 0.000 0.989
```

Output
volume	246.86	Å³/cell
space-group type	C2/m (12)
mass density	13.55	g/cm³
E_tot	-47.9	eV per cell
spin magnetization	0.00	μB per formula unit

***

NdSm2Au | PBE-GGA | relaxed

extended XYZ file:
```
16
Lattice="7.124 0.000 0.000 0.000 10.187 0.000 0.000 0.000 6.758" Properties=species:S:1:pos:R:3 pbc="T T T"
Nd 0.059 2.547 0.885
Nd 3.503 7.640 4.264
Nd 3.621 2.547 2.494
Nd 7.065 7.640 5.873
Sm 1.354 0.540 4.578
Sm 1.354 4.554 4.578
Sm 2.208 5.633 1.199
Sm 2.208 9.647 1.199
Sm 4.917 0.540 5.559
Sm 4.917 4.554 5.559
Sm 5.770 5.633 2.180
Sm 5.770 9.647 2.180
Au 0.744 7.640 2.927
Au 2.818 2.547 6.306
Au 4.306 7.640 0.452
Au 6.381 2.547 3.831
```

Output
volume	490.46	Å³/cell
space-group type	Pnma (62)
mass density	8.69	g/cm³
E_tot	-76.4	eV per cell
spin magnetization	0.00	μB per formula unit

***

Nd2SmAu | PBE-GGA | relaxed

extended XYZ file:
```
4
Lattice="1.881 1.086 10.347 -1.881 1.086 10.347 0.000 -2.172 10.347" Properties=species:S:1:pos:R:3 pbc="T T T"
Nd 0.000 0.000 7.381
Nd 0.000 0.000 23.659
Sm 0.000 0.000 0.000
Au 0.000 0.000 15.520
```

Output
volume	126.85	Å³/cell
space-group type	R-3m (166)
mass density	8.32	g/cm³
E_tot	-18.5	eV per cell
spin magnetization	0.00	μB per formula unit

***

NdSm5Au6 | PBE-GGA | relaxed

extended XYZ file:
```
12
Lattice="5.224 0.000 0.000 0.000 7.312 0.000 -2.565 0.000 7.847" Properties=species:S:1:pos:R:3 pbc="T T T"
Nd 0.000 0.000 0.000
Sm 0.000 3.656 0.000
Sm 0.027 0.000 5.228
Sm 0.027 3.656 5.237
Sm 2.632 3.656 2.610
Sm 2.632 0.000 2.619
Au 0.025 1.839 2.642
Au 0.025 5.473 2.642
Au 2.612 1.858 0.000
Au 2.612 5.453 0.000
Au 2.634 1.839 5.205
Au 2.634 5.473 5.205
```

Output
volume	299.73	Å³/cell
space-group type	P2/m (10)
mass density	11.51	g/cm³
E_tot	-57.5	eV per cell
spin magnetization	0.00	μB per formula unit

***

NdSmAu5 | PBE-GGA | relaxed

extended XYZ file:
```
14
Lattice="3.345 -4.201 0.000 3.345 4.201 0.000 -3.325 0.000 11.220" Properties=species:S:1:pos:R:3 pbc="T T T"
Nd 0.000 0.000 0.000
Nd -1.663 0.000 5.610
Sm 0.851 0.562 8.415
Sm 2.514 -0.562 2.805
Au 1.519 2.118 1.703
Au 0.851 3.644 8.415
Au 1.076 1.208 5.202
Au 3.508 2.118 3.906
Au 3.951 1.208 0.408
Au -0.586 -1.208 10.812
Au -0.143 -2.118 7.313
Au 2.289 -1.208 6.017
Au 2.514 -3.644 2.805
Au 1.846 -2.118 9.516
```

Output
volume	315.29	Å³/cell
space-group type	C2/c (15)
mass density	13.48	g/cm³
E_tot	-60.6	eV per cell
spin magnetization	0.00	μB per formula unit

***

Nd3Sm2Au2 | PBE-GGA | relaxed

extended XYZ file:
```
7
Lattice="6.431 -1.933 0.000 6.431 1.933 0.000 -3.952 0.000 8.522" Properties=species:S:1:pos:R:3 pbc="T T T"
Nd 0.000 0.000 0.000
Nd -0.304 0.000 3.784
Nd 9.215 0.000 4.738
Sm 3.707 0.000 1.595
Sm 5.203 0.000 6.927
Au 1.193 0.000 6.596
Au 7.717 0.000 1.925
```

Output
volume	211.84	Å³/cell
space-group type	C2/m (12)
mass density	8.84	g/cm³
E_tot	-33.5	eV per cell
spin magnetization	0.00	μB per formula unit

***

Nd3SmAu7 | PBE-GGA | relaxed

extended XYZ file:
```
22
Lattice="1.921 -11.237 0.000 1.921 11.237 0.000 0.000 0.000 12.869" Properties=species:S:1:pos:R:3 pbc="T T T"
Nd 1.921 8.052 7.183
Nd 1.921 8.052 12.121
Nd 1.921 7.023 3.217
Nd 1.921 -7.023 9.652
Nd 1.921 -8.052 0.748
Nd 1.921 -8.052 5.687
Sm 1.921 11.155 3.217
Sm 1.921 -11.155 9.652
Au 1.921 4.979 7.322
Au 1.921 4.979 11.981
Au 1.921 2.689 3.217
Au 1.921 2.172 8.164
Au 1.921 2.172 11.139
Au 1.921 0.822 1.034
Au 1.921 0.822 5.401
Au 1.921 -0.822 7.468
Au 1.921 -0.822 11.835
Au 1.921 -2.172 1.730
Au 1.921 -2.172 4.705
Au 1.921 -2.689 9.652
Au 1.921 -4.979 0.888
Au 1.921 -4.979 5.547
```

Output
volume	555.54	Å³/cell
space-group type	Cmcm (63)
mass density	11.73	g/cm³
E_tot	-99.4	eV per cell
spin magnetization	0.00	μB per formula unit

***

Nd3SmAu2 | PBE-GGA | relaxed

extended XYZ file:
```
12
Lattice="-3.638 7.113 3.779 3.638 -7.113 3.779 3.638 7.113 -3.779" Properties=species:S:1:pos:R:3 pbc="T T T"
Nd 3.638 -3.288 1.890
Nd 0.000 0.000 1.890
Nd 3.638 3.288 1.890
Nd 0.000 3.825 1.890
Nd 0.000 0.000 5.669
Nd 0.000 10.401 1.890
Sm 3.638 0.000 0.000
Sm 0.000 7.113 0.000
Au 1.475 2.005 0.000
Au 1.475 -2.005 3.779
Au 2.162 9.118 0.000
Au 2.162 5.108 3.779
```

Output
volume	391.13	Å³/cell
space-group type	Ibam (72)
mass density	8.30	g/cm³
E_tot	-55.9	eV per cell
spin magnetization	0.00	μB per formula unit

***

Number 1: formation energy -1.03 eV per formula unit. Number 2: formation energy -4.65 eV per formula unit. Number 3: formation energy -1.57 eV per formula unit. Number 4: formation energy -1.40 eV per formula unit. Number 5: formation energy -4.74 eV per formula unit. Number 6: formation energy -1.03 eV per formula unit. Number 7: formation energy -4.18 eV per formula unit. Number 8: formation energy -3.89 eV per formula unit. Number 9: formation energy -3.20 eV per formula unit. Number 10: formation energy -2.76 eV per formula unit. Number 11: formation energy -6.46 eV per formula unit. Number 12: formation energy -7.62 eV per formula unit. Number 13: formation energy -3.44 eV per formula unit. Number 14: formation energy -1.49 eV per formula unit. Number 15: formation energy -7.41 eV per formula unit. Number 16: formation energy -1.61 eV per formula unit. Number 17: formation energy -0.99 eV per formula unit. Number 18: formation energy -9.50 eV per formula unit. Number 19: formation energy -4.41 eV per formula unit. Number 20: formation energy -3.16 eV per formula unit. Number 21: formation energy -7.75 eV per formula unit. Number 22: formation energy -2.35 eV per formula unit.